Record 1
This record from Alexandria describes crystalline Tb2ReC2 at its relaxed geometry. The functional is GGA-PBEsol.

Computed properties:
ΔH_f (0 K)	-0.43	eV per atom
crystal system	orthorhombic

Unit cell a=6.530 b=5.090 c=9.789 alpha=90.00 beta=90.00 gamma=90.00
Element x y z (fractional)
Tb: 0.031 0.250 0.215
Tb: 0.181 0.250 0.555
Tb: 0.319 0.750 0.055
Tb: 0.469 0.750 0.715
Tb: 0.531 0.250 0.285
Tb: 0.681 0.250 0.945
Tb: 0.819 0.750 0.445
Tb: 0.969 0.750 0.785
Re: 0.221 0.250 0.866
Re: 0.279 0.750 0.366
Re: 0.721 0.250 0.634
Re: 0.779 0.750 0.134
C: 0.045 0.750 0.241
C: 0.177 0.750 0.550
C: 0.323 0.250 0.050
C: 0.455 0.250 0.741
C: 0.545 0.750 0.259
C: 0.677 0.750 0.950
C: 0.823 0.250 0.450
C: 0.955 0.250 0.759

Record 2
This record from Alexandria describes crystalline Tb12Re5C15 at its relaxed geometry. The functional is GGA-PBEsol.

Computed properties:
ΔH_f (0 K)	-0.38	eV per atom
crystal system	hexagonal

Unit cell a=10.657 b=10.657 c=5.068 alpha=90.00 beta=90.00 gamma=120.00
Element x y z (fractional)
Tb: 0.000 0.427 0.000
Tb: 0.000 0.795 0.000
Tb: 0.187 0.730 0.500
Tb: 0.205 0.205 0.000
Tb: 0.270 0.457 0.500
Tb: 0.427 0.000 0.000
Tb: 0.457 0.270 0.500
Tb: 0.543 0.813 0.500
Tb: 0.573 0.573 0.000
Tb: 0.730 0.187 0.500
Tb: 0.795 0.000 0.000
Tb: 0.813 0.543 0.500
Re: 0.000 0.152 0.500
Re: 0.152 0.000 0.500
Re: 0.333 0.667 0.000
Re: 0.667 0.333 0.000
Re: 0.848 0.848 0.500
C: 0.000 0.333 0.500
C: 0.000 0.460 0.500
C: 0.000 0.785 0.500
C: 0.187 0.719 0.000
C: 0.215 0.215 0.500
C: 0.281 0.468 0.000
C: 0.333 0.000 0.500
C: 0.460 0.000 0.500
C: 0.468 0.281 0.000
C: 0.532 0.813 0.000
C: 0.540 0.540 0.500
C: 0.667 0.667 0.500
C: 0.719 0.187 0.000
C: 0.785 0.000 0.500
C: 0.813 0.532 0.000

Record 3
This record from Alexandria describes crystalline ReTc3C at its relaxed geometry. The functional is GGA-PBEsol.

Computed properties:
ΔH_f (0 K)	3.19	eV per atom
crystal system	cubic

Unit cell a=4.613 b=4.613 c=4.613 alpha=90.00 beta=90.00 gamma=90.00
Element x y z (fractional)
Re: 0.000 0.000 0.000
Tc: 0.000 0.000 0.500
Tc: 0.000 0.500 0.000
Tc: 0.500 0.000 0.000
C: 0.500 0.500 0.500

Record 4
This record from Alexandria describes crystalline ReTeC2 at its relaxed geometry. The functional is GGA-PBEsol.

Computed properties:
raw formation energy	4.85	eV/f.u.
crystal system	tetragonal

Unit cell a=5.973 b=5.973 c=5.973 alpha=128.58 beta=128.58 gamma=75.68
Element x y z (fractional)
Re: 0.000 0.000 0.000
Re: 0.750 0.250 0.500
Te: 0.250 0.750 0.500
Te: 0.500 0.500 0.000
C: 0.037 0.125 0.412
C: 0.375 0.963 0.088
C: 0.713 0.625 0.588
C: 0.875 0.287 0.912

Record 5
This record from Alexandria describes crystalline ReTe3C at its relaxed geometry. The functional is GGA-PBEsol.

Computed properties:
raw formation energy	7.56	eV/f.u.
crystal system	cubic

Unit cell a=4.540 b=4.540 c=4.540 alpha=90.00 beta=90.00 gamma=90.00
Element x y z (fractional)
Re: 0.000 0.000 0.000
Te: 0.000 0.500 0.500
Te: 0.500 0.000 0.500
Te: 0.500 0.500 0.000
C: 0.500 0.500 0.500

Record 6
This record from Alexandria describes crystalline ReTeC3 at its relaxed geometry. The functional is GGA-PBEsol.

Computed properties:
raw formation energy	9.80	eV/f.u.
crystal system	cubic

Unit cell a=4.073 b=4.073 c=4.073 alpha=90.00 beta=90.00 gamma=90.00
Element x y z (fractional)
Re: 0.000 0.000 0.000
Te: 0.500 0.500 0.500
C: 0.000 0.000 0.500
C: 0.000 0.500 0.000
C: 0.500 0.000 0.000

Quick rundown of magnetic moment, same order as above: 0.00; 0.00; 1.75; 0.00; 0.00; 0.00 μB per formula unit
Quick rundown of DFT total energy, same order as above: -8.960; -8.863; -8.164; -7.824; -5.199; -7.198 eV/atom